Here is a geometry-optimized LiSmYIn structure from Alexandria. Energies are from GGA-PBE.

POSCAR file:
```
LiSmYIn
1.0
-2.374 4.766 0.306
-1.537 1.914 4.735
2.582 4.131 2.172
Y In Li Sm
1 1 1 1
direct
0.250 0.250 0.250
0.000 0.000 0.000
0.500 0.500 0.500
0.750 0.750 0.750
```

Output
space group	No. 216
total DFT energy (no corrections)	-16.978	eV/cell
DFT formation energy	-0.286	eV per atom

---

Here is a geometry-optimized LiSmY2In4 structure from Alexandria. Energies are from GGA-PBE.

POSCAR file:
```
LiSmY2In4
1.0
-5.169 0.147 -0.795
-3.109 -3.488 2.355
-3.656 4.299 7.353
Y In Li Sm
2 4 1 1
direct
0.246 0.246 0.263
0.754 0.754 0.737
0.622 0.622 0.133
0.127 0.127 0.619
0.873 0.873 0.381
0.378 0.378 0.867
0.500 0.500 0.500
0.000 0.000 0.000
```

Output
space group	No. 166
total DFT energy (no corrections)	-34.009	eV/cell
DFT formation energy	-0.437	eV per atom

---

Here is a geometry-optimized Li2Sm2YIn5 structure from Alexandria. Energies are from GGA-PBE.

POSCAR file:
```
Li2Sm2YIn5
1.0
4.481 0.000 0.000
0.000 10.352 0.000
0.000 0.000 10.352
In Li Sm Y
10 4 4 2
direct
0.500 0.000 0.500
0.500 0.288 0.571
0.500 0.929 0.212
0.500 0.429 0.288
0.500 0.212 0.071
0.500 0.500 0.000
0.500 0.712 0.429
0.500 0.071 0.788
0.500 0.571 0.712
0.500 0.788 0.929
0.000 0.382 0.118
0.000 0.882 0.382
0.000 0.118 0.618
0.000 0.618 0.882
0.000 0.824 0.676
0.000 0.176 0.324
0.000 0.324 0.824
0.000 0.676 0.176
0.000 0.000 0.000
0.000 0.500 0.500
```

Output
space group	No. 127
total DFT energy (no corrections)	-75.136	eV/cell
DFT formation energy	-0.415	eV per atom

---

Here is a geometry-optimized LiSm2YIn4 structure from Alexandria. Energies are from GGA-PBE.

POSCAR file:
```
LiSm2YIn4
1.0
5.257 0.000 0.000
2.628 4.553 0.000
2.628 1.518 8.796
Sm Li In Y
2 1 4 1
direct
0.755 0.755 0.735
0.245 0.245 0.265
0.500 0.500 0.500
0.126 0.126 0.623
0.376 0.376 0.872
0.624 0.624 0.128
0.874 0.874 0.377
0.000 0.000 0.000
```

Output
space group	No. 166
total DFT energy (no corrections)	-32.284	eV/cell
DFT formation energy	-0.439	eV per atom

---

| no. | theoretical density (Mg/m³) | M_tot (μB/f.u.) |
| --- | --- | --- |
| 1 | 5.6 | 0.0 |
| 2 | 6.3 | 0.0 |
| 3 | 6.8 | 0.0 |
| 4 | 6.8 | 0.0 |